Record 1
AcNdAu | PBE | relaxed

Unit cell a=8.5291 b=5.2146 c=13.1075 alpha=90.00 beta=91.44 gamma=90.00
Space group P2_1/m (No. 11)
Unique sites:
Ac  0.0285  0.2500  0.2270 [2 per cell]
Ac  0.3571  0.7500  0.5835 [2 per cell]
Ac  0.4636  0.7500  0.8838 [2 per cell]
Nd  0.0430  0.2500  0.5802 [2 per cell]
Nd  0.1380  0.2500  0.9486 [2 per cell]
Nd  0.3457  0.7500  0.2816 [2 per cell]
Au  0.2188  0.7500  0.0637 [2 per cell]
Au  0.2739  0.2500  0.4069 [2 per cell]
Au  0.3004  0.2500  0.7474 [2 per cell]

Values from the calculation:
- VASP energy (Ha/atom) = -0.1684
- Fermi-level density of states (states/eV per cell) = 16.7
- distance to the lowest polymorph of the same formula (eV per atom) = 0.000

=====

Record 2
AcNdAu | PBE | relaxed

Unit cell a=4.6627 b=4.6627 c=35.2545 alpha=90.00 beta=90.00 gamma=120.00
Space group R-3m (No. 166, hexagonal axes)
Unique sites:
Ac  0.0000  0.0000  0.2071 [6 per cell]
Nd  0.0000  0.0000  0.0474 [6 per cell]
Au  0.0000  0.0000  0.3292 [6 per cell]

Values from the calculation:
- VASP energy (Ha/atom) = -0.1568
- Fermi-level density of states (states/eV per cell) = 25.0
- distance to the lowest polymorph of the same formula (eV per atom) = 0.314

=====

Record 3
AcNd3Au | PBE | relaxed

Unit cell a=8.6098 b=7.5225 c=10.7260 alpha=90.00 beta=106.16 gamma=90.00
Space group P2_1/c (No. 14)
Unique sites:
Ac  0.1863  0.0202  0.2594 [4 per cell]
Nd  0.0358  0.7124  0.0091 [4 per cell]
Nd  0.2710  0.5061  0.3671 [4 per cell]
Nd  0.4060  0.1420  0.6014 [4 per cell]
Au  0.4212  0.7377  0.6094 [4 per cell]

Values from the calculation:
- VASP energy (Ha/atom) = -0.1690
- Fermi-level density of states (states/eV per cell) = 24.3

=====

Record 4
AcNdAu4 | PBE | relaxed

Unit cell a=4.8086 b=8.3481 c=7.5139 alpha=90.00 beta=90.12 gamma=90.00
Space group C2/m (No. 12)
Unique sites:
Ac  0.0000  0.0000  0.0000 [2 per cell]
Nd  0.0000  0.0000  0.5000 [2 per cell]
Au  0.9998  0.3336  0.2704 [8 per cell]

Values from the calculation:
- VASP energy (Ha/atom) = -0.1639
- Fermi-level density of states (states/eV per cell) = 10.5
- distance to the lowest polymorph of the same formula (eV per atom) = 0.018

=====

Record 5
AcNd2Au6 | PBE | relaxed

Unit cell a=8.2932 b=8.2932 c=3.7305 alpha=90.00 beta=90.00 gamma=120.00
Space group P6/mmm (No. 191)
Unique sites:
Ac  0.0000  0.0000  0.0000 [1 per cell]
Nd  0.3333  0.6667  0.0000 [2 per cell]
Au  0.0000  0.3354  0.5000 [6 per cell]

Values from the calculation:
- VASP energy (Ha/atom) = -0.1642
- Fermi-level density of states (states/eV per cell) = 6.9
- distance to the lowest polymorph of the same formula (eV per atom) = 0.000

=====

Record 6
AcNd2Au3 | PBE | relaxed

Unit cell a=3.7778 b=3.7778 c=11.3573 alpha=90.00 beta=90.00 gamma=90.00
Space group P4/mmm (No. 123)
Unique sites:
Ac  0.0000  0.0000  0.0000 [1 per cell]
Nd  0.0000  0.0000  0.3381 [2 per cell]
Au  0.5000  0.5000  0.1841 [2 per cell]
Au  0.5000  0.5000  0.5000 [1 per cell]

Values from the calculation:
- VASP energy (Ha/atom) = -0.1718
- Fermi-level density of states (states/eV per cell) = 3.6
- distance to the lowest polymorph of the same formula (eV per atom) = 0.000

=====

Record 7
Ac2NdAu | PBE | relaxed

Unit cell a=11.9697 b=6.6661 c=7.5223 alpha=90.00 beta=106.43 gamma=90.00
Space group C2/c (No. 15)
Unique sites:
Ac  0.1927  0.0041  0.0918 [8 per cell]
Nd  0.0000  0.3630  0.2500 [4 per cell]
Au  0.0000  0.1910  0.7500 [4 per cell]

Values from the calculation:
- VASP energy (Ha/atom) = -0.1594
- Fermi-level density of states (states/eV per cell) = 19.9
- distance to the lowest polymorph of the same formula (eV per atom) = 0.081

=====

Record 8
Ac3Nd4Au4 | PBE | relaxed

Unit cell a=5.0706 b=8.1297 c=16.5997 alpha=90.00 beta=90.00 gamma=90.00
Space group Immm (No. 71)
Unique sites:
Ac  0.0000  0.0000  0.0000 [2 per cell]
Ac  0.0000  0.5000  0.1057 [4 per cell]
Nd  0.0000  0.2867  0.3264 [8 per cell]
Au  0.0000  0.0000  0.2079 [4 per cell]
Au  0.0000  0.1899  0.5000 [4 per cell]

Values from the calculation:
- VASP energy (Ha/atom) = -0.1682
- Fermi-level density of states (states/eV per cell) = 22.7